[1]
First-principles (PBE-GGA) data for a relaxed Cr2HgPt crystal, as listed in Alexandria.

CIF file:
```
data_Cr2HgPt
_chemical_formula_sum 'Cr2 Hg1 Pt1'
_cell_length_a 4.874
_cell_length_b 4.874
_cell_length_c 4.919
_cell_angle_alpha 78.38
_cell_angle_beta 78.38
_cell_angle_gamma 34.36
_symmetry_space_group_name_H-M 'P 1'
_symmetry_Int_Tables_number 1
loop_
_symmetry_equiv_pos_as_xyz
'x,y,z'
loop_
_atom_site_label
_atom_site_type_symbol
_atom_site_fract_x
_atom_site_fract_y
_atom_site_fract_z
_atom_site_occupancy
Cr1 Cr 0.992 0.992 0.089 1
Cr2 Cr 0.508 0.508 0.411 1
Hg1 Hg 0.750 0.750 0.750 1
Pt1 Pt 0.250 0.250 0.250 1
```

Calculated values
- DFT formation energy: 0.35 eV/atom

[2]
First-principles (PBE-GGA) data for a relaxed NaBe2Tc crystal, as listed in Alexandria.

CIF file:
```
data_NaBe2Tc
_chemical_formula_sum 'Na1 Be2 Tc1'
_cell_length_a 4.182
_cell_length_b 4.182
_cell_length_c 4.182
_cell_angle_alpha 60.00
_cell_angle_beta 60.00
_cell_angle_gamma 60.00
_symmetry_space_group_name_H-M 'P 1'
_symmetry_Int_Tables_number 1
loop_
_symmetry_equiv_pos_as_xyz
'x,y,z'
loop_
_atom_site_label
_atom_site_type_symbol
_atom_site_fract_x
_atom_site_fract_y
_atom_site_fract_z
_atom_site_occupancy
Na1 Na 0.000 0.000 0.000 1
Tc1 Tc 0.500 0.500 0.500 1
Be1 Be 0.250 0.250 0.250 1
Be2 Be 0.750 0.750 0.750 1
```

Calculated values
- DFT formation energy: 0.71 eV/atom
- Energy relative to the lowest polymorph listed for this composition: 0 meV/atom

[3]
First-principles (PBE-GGA) data for a relaxed Pm4Hg2Rh crystal, as listed in Alexandria.

CIF file:
```
data_Pm4Hg2Rh
_chemical_formula_sum 'Pm4 Hg2 Rh1'
_cell_length_a 5.412
_cell_length_b 5.412
_cell_length_c 8.541
_cell_angle_alpha 108.47
_cell_angle_beta 108.47
_cell_angle_gamma 90.00
_symmetry_space_group_name_H-M 'P 1'
_symmetry_Int_Tables_number 1
loop_
_symmetry_equiv_pos_as_xyz
'x,y,z'
loop_
_atom_site_label
_atom_site_type_symbol
_atom_site_fract_x
_atom_site_fract_y
_atom_site_fract_z
_atom_site_occupancy
Rh1 Rh 0.000 0.000 0.000 1
Hg1 Hg 0.617 0.617 0.234 1
Hg2 Hg 0.383 0.383 0.766 1
Pm1 Pm 0.815 0.815 0.629 1
Pm2 Pm 0.185 0.185 0.371 1
Pm3 Pm 0.000 0.500 0.000 1
Pm4 Pm 0.500 0.000 0.000 1
```

Calculated values
- DFT formation energy: -0.31 eV/atom
- Energy relative to the lowest polymorph listed for this composition: 157 meV/atom

[4]
First-principles (PBE-GGA) data for a relaxed LaAg8 crystal, as listed in Alexandria.

CIF file:
```
data_LaAg8
_chemical_formula_sum 'La1 Ag8'
_cell_length_a 6.729
_cell_length_b 6.729
_cell_length_c 6.729
_cell_angle_alpha 96.47
_cell_angle_beta 96.47
_cell_angle_gamma 140.78
_symmetry_space_group_name_H-M 'P 1'
_symmetry_Int_Tables_number 1
loop_
_symmetry_equiv_pos_as_xyz
'x,y,z'
loop_
_atom_site_label
_atom_site_type_symbol
_atom_site_fract_x
_atom_site_fract_y
_atom_site_fract_z
_atom_site_occupancy
La1 La 0.000 0.000 0.000 1
Ag1 Ag 0.343 0.000 0.343 1
Ag2 Ag 0.657 0.000 0.657 1
Ag3 Ag 0.000 0.657 0.657 1
Ag4 Ag 0.323 0.677 0.000 1
Ag5 Ag 0.677 0.677 0.354 1
Ag6 Ag 0.000 0.343 0.343 1
Ag7 Ag 0.323 0.323 0.646 1
Ag8 Ag 0.677 0.323 0.000 1
```

Calculated values
- DFT formation energy: 0.01 eV/atom

[5]
First-principles (PBE-GGA) data for a relaxed TcBi2W crystal, as listed in Alexandria.

CIF file:
```
data_TcBi2W
_chemical_formula_sum 'Tc2 Bi4 W2'
_cell_length_a 4.345
_cell_length_b 4.345
_cell_length_c 10.082
_cell_angle_alpha 77.56
_cell_angle_beta 77.56
_cell_angle_gamma 90.00
_symmetry_space_group_name_H-M 'P 1'
_symmetry_Int_Tables_number 1
loop_
_symmetry_equiv_pos_as_xyz
'x,y,z'
loop_
_atom_site_label
_atom_site_type_symbol
_atom_site_fract_x
_atom_site_fract_y
_atom_site_fract_z
_atom_site_occupancy
Bi1 Bi 0.621 0.125 0.250 1
Bi2 Bi 0.129 0.625 0.250 1
Bi3 Bi 0.375 0.379 0.750 1
Bi4 Bi 0.875 0.871 0.750 1
W1 W 0.000 0.000 0.000 1
W2 W 0.750 0.250 0.500 1
Tc1 Tc 0.500 0.500 0.000 1
Tc2 Tc 0.250 0.750 0.500 1
```

Calculated values
- DFT formation energy: 1.30 eV/atom
- Energy relative to the lowest polymorph listed for this composition: 364 meV/atom

[6]
First-principles (PBE-GGA) data for a relaxed PaIrN crystal, as listed in Alexandria.

CIF file:
```
data_PaIrN
_chemical_formula_sum 'Pa1 Ir1 N1'
_cell_length_a 3.325
_cell_length_b 3.325
_cell_length_c 5.269
_cell_angle_alpha 108.39
_cell_angle_beta 108.39
_cell_angle_gamma 90.00
_symmetry_space_group_name_H-M 'P 1'
_symmetry_Int_Tables_number 1
loop_
_symmetry_equiv_pos_as_xyz
'x,y,z'
loop_
_atom_site_label
_atom_site_type_symbol
_atom_site_fract_x
_atom_site_fract_y
_atom_site_fract_z
_atom_site_occupancy
Pa1 Pa 0.611 0.611 0.222 1
Ir1 Ir 0.310 0.310 0.619 1
N1 N 0.079 0.079 0.159 1
```

Calculated values
- Energy relative to the lowest polymorph listed for this composition: 471 meV/atom
- E_form (uncorrected): -463 meV/atom

[7]
First-principles (PBE-GGA) data for a relaxed SmPaHg crystal, as listed in Alexandria.

CIF file:
```
data_SmPaHg
_chemical_formula_sum 'Sm2 Pa2 Hg2'
_cell_length_a 3.300
_cell_length_b 3.300
_cell_length_c 15.103
_cell_angle_alpha 96.27
_cell_angle_beta 96.27
_cell_angle_gamma 90.00
_symmetry_space_group_name_H-M 'P 1'
_symmetry_Int_Tables_number 1
loop_
_symmetry_equiv_pos_as_xyz
'x,y,z'
loop_
_atom_site_label
_atom_site_type_symbol
_atom_site_fract_x
_atom_site_fract_y
_atom_site_fract_z
_atom_site_occupancy
Pa1 Pa 0.047 0.047 0.094 1
Pa2 Pa 0.953 0.953 0.906 1
Sm1 Sm 0.635 0.635 0.270 1
Sm2 Sm 0.365 0.365 0.730 1
Hg1 Hg 0.788 0.788 0.575 1
Hg2 Hg 0.212 0.212 0.425 1
```

Calculated values
- DFT formation energy: 0.09 eV/atom

[8]
First-principles (PBE-GGA) data for a relaxed HgSbAuC2 crystal, as listed in Alexandria.

CIF file:
```
data_HgSbAuC2
_chemical_formula_sum 'Hg1 Sb1 Au1 C2'
_cell_length_a 4.166
_cell_length_b 7.010
_cell_length_c 4.166
_cell_angle_alpha 90.00
_cell_angle_beta 90.00
_cell_angle_gamma 90.00
_symmetry_space_group_name_H-M 'P 1'
_symmetry_Int_Tables_number 1
loop_
_symmetry_equiv_pos_as_xyz
'x,y,z'
loop_
_atom_site_label
_atom_site_type_symbol
_atom_site_fract_x
_atom_site_fract_y
_atom_site_fract_z
_atom_site_occupancy
Sb1 Sb 0.000 0.000 0.000 1
C1 C 0.000 0.000 0.500 1
C2 C 0.500 0.000 0.000 1
Au1 Au 0.500 0.500 0.500 1
Hg1 Hg 0.000 0.500 0.000 1
```

Calculated values
- E_form (uncorrected): 2144 meV/atom

[9]
First-principles (PBE-GGA) data for a relaxed CaTl2Cd crystal, as listed in Alexandria.

CIF file:
```
data_CaTl2Cd
_chemical_formula_sum 'Ca1 Tl2 Cd1'
_cell_length_a 5.407
_cell_length_b 5.407
_cell_length_c 5.407
_cell_angle_alpha 60.00
_cell_angle_beta 60.00
_cell_angle_gamma 60.00
_symmetry_space_group_name_H-M 'P 1'
_symmetry_Int_Tables_number 1
loop_
_symmetry_equiv_pos_as_xyz
'x,y,z'
loop_
_atom_site_label
_atom_site_type_symbol
_atom_site_fract_x
_atom_site_fract_y
_atom_site_fract_z
_atom_site_occupancy
Tl1 Tl 0.000 0.000 0.000 1
Tl2 Tl 0.250 0.250 0.250 1
Ca1 Ca 0.500 0.500 0.500 1
Cd1 Cd 0.750 0.750 0.750 1
```

Calculated values
- DFT formation energy: -0.19 eV/atom
- Energy relative to the lowest polymorph listed for this composition: 55 meV/atom

[10]
First-principles (PBE-GGA) data for a relaxed Ce8Sb5As crystal, as listed in Alexandria.

CIF file:
```
data_Ce8Sb5As
_chemical_formula_sum 'Ce8 Sb5 As1'
_cell_length_a 8.097
_cell_length_b 8.097
_cell_length_c 8.097
_cell_angle_alpha 109.42
_cell_angle_beta 109.58
_cell_angle_gamma 109.42
_symmetry_space_group_name_H-M 'P 1'
_symmetry_Int_Tables_number 1
loop_
_symmetry_equiv_pos_as_xyz
'x,y,z'
loop_
_atom_site_label
_atom_site_type_symbol
_atom_site_fract_x
_atom_site_fract_y
_atom_site_fract_z
_atom_site_occupancy
Ce1 Ce 0.129 0.734 0.012 1
Ce2 Ce 0.988 0.117 0.722 1
Ce3 Ce 0.782 0.256 0.385 1
Ce4 Ce 0.615 0.397 0.871 1
Ce5 Ce 0.474 0.603 0.218 1
Ce6 Ce 0.605 0.883 0.871 1
Ce7 Ce 0.278 0.266 0.395 1
Ce8 Ce 0.129 0.744 0.526 1
Sb1 Sb 0.992 0.365 0.118 1
Sb2 Sb 0.882 0.874 0.247 1
Sb3 Sb 0.753 0.635 0.627 1
Sb4 Sb 0.500 0.000 0.500 1
Sb5 Sb 0.373 0.126 0.008 1
As1 As 0.250 0.500 0.750 1
```

Calculated values
- E_form (uncorrected): -954 meV/atom

[11]
First-principles (PBE-GGA) data for a relaxed Y2MnAl12Fe3 crystal, as listed in Alexandria.

CIF file:
```
data_Y2MnAl12Fe3
_chemical_formula_sum 'Y2 Mn1 Al12 Fe3'
_cell_length_a 7.604
_cell_length_b 7.604
_cell_length_c 7.604
_cell_angle_alpha 69.89
_cell_angle_beta 69.89
_cell_angle_gamma 69.89
_symmetry_space_group_name_H-M 'P 1'
_symmetry_Int_Tables_number 1
loop_
_symmetry_equiv_pos_as_xyz
'x,y,z'
loop_
_atom_site_label
_atom_site_type_symbol
_atom_site_fract_x
_atom_site_fract_y
_atom_site_fract_z
_atom_site_occupancy
Y1 Y 0.598 0.598 0.598 1
Y2 Y 0.402 0.402 0.402 1
Mn1 Mn 0.000 0.000 0.000 1
Al1 Al 0.267 0.267 0.870 1
Al2 Al 0.862 0.862 0.372 1
Al3 Al 0.372 0.862 0.862 1
Al4 Al 0.870 0.267 0.267 1
Al5 Al 0.862 0.372 0.862 1
Al6 Al 0.267 0.870 0.267 1
Al7 Al 0.733 0.733 0.130 1
Al8 Al 0.138 0.138 0.628 1
Al9 Al 0.628 0.138 0.138 1
Al10 Al 0.130 0.733 0.733 1
Al11 Al 0.138 0.628 0.138 1
Al12 Al 0.733 0.130 0.733 1
Fe1 Fe 0.500 0.000 0.000 1
Fe2 Fe 0.000 0.500 0.000 1
Fe3 Fe 0.000 0.000 0.500 1
```

Calculated values
- DFT formation energy: 0.28 eV/atom

[12]
First-principles (PBE-GGA) data for a relaxed Mg2FeCu crystal, as listed in Alexandria.

CIF file:
```
data_Mg2FeCu
_chemical_formula_sum 'Mg2 Fe1 Cu1'
_cell_length_a 9.077
_cell_length_b 9.077
_cell_length_c 9.077
_cell_angle_alpha 17.96
_cell_angle_beta 17.96
_cell_angle_gamma 17.96
_symmetry_space_group_name_H-M 'P 1'
_symmetry_Int_Tables_number 1
loop_
_symmetry_equiv_pos_as_xyz
'x,y,z'
loop_
_atom_site_label
_atom_site_type_symbol
_atom_site_fract_x
_atom_site_fract_y
_atom_site_fract_z
_atom_site_occupancy
Cu1 Cu 0.250 0.250 0.250 1
Fe1 Fe 0.750 0.750 0.750 1
Mg1 Mg 0.000 0.000 0.000 1
Mg2 Mg 0.500 0.500 0.500 1
```

Calculated values
- DFT formation energy: 0.20 eV/atom

no.,calculated volume (Å³ per atom)
1,16.12
2,12.93
3,31.95
4,20.16
5,22.66
6,17.37
7,27.08
8,24.33
9,27.94
10,29.18
11,20.83
12,15.51